Here is a relaxed structure of CsHf6Te12 from Alexandria via LeMat-Bulk. Energies are from PBE-GGA.

The structure in POSCAR format:
```
CsHf6Te12
1.0
7.050 4.070 3.385
-7.050 4.070 3.385
0.000 -8.140 3.385
Cs Hf Te
1 6 12
direct
0.000 0.000 0.000 Cs
0.271 0.271 0.663 Hf
0.271 0.663 0.271 Hf
0.337 0.729 0.729 Hf
0.663 0.271 0.271 Hf
0.729 0.337 0.729 Hf
0.729 0.729 0.337 Hf
0.122 0.500 0.878 Te
0.122 0.878 0.500 Te
0.160 0.426 0.426 Te
0.426 0.160 0.426 Te
0.426 0.426 0.160 Te
0.500 0.122 0.878 Te
0.500 0.878 0.122 Te
0.574 0.574 0.840 Te
0.574 0.840 0.574 Te
0.840 0.574 0.574 Te
0.878 0.122 0.500 Te
0.878 0.500 0.122 Te
```

Raw formation energy = -546 meV/atom
Theoretical density = 7.79 g/cm³
VASP energy = -5.72 eV/atom
Density of states at the Fermi level = 7.2 states/eV/f.u.

=====

Here is a relaxed structure of Sb2PtICl from Alexandria via LeMat-Bulk. Energies are from PBE-GGA.

The structure in POSCAR format:
```
Sb2PtICl
1.0
5.315 0.000 0.000
0.000 5.315 0.000
0.000 0.000 5.266
Sb Pt I Cl
2 1 1 1
direct
0.000 0.500 0.000 Sb
0.500 0.000 0.000 Sb
0.000 0.000 0.500 Pt
0.500 0.500 0.500 I
0.500 0.500 0.000 Cl
```

Raw formation energy = 1196 meV/atom
Theoretical density = 6.71 g/cm³
VASP energy = -2.34 eV/atom
Density of states at the Fermi level = 3.1 states/eV/f.u.

=====

Here is a relaxed structure of Zn2AgOs from Alexandria via LeMat-Bulk. Energies are from PBE-GGA.

The structure in POSCAR format:
```
Zn2AgOs
1.0
3.773 0.000 0.000
0.000 3.773 0.000
0.000 0.000 8.499
Zn Ag Os
4 2 2
direct
0.000 0.000 0.000 Zn
0.000 0.500 0.250 Zn
0.500 0.000 0.750 Zn
0.500 0.500 0.500 Zn
0.000 0.500 0.750 Ag
0.500 0.000 0.250 Ag
0.000 0.000 0.500 Os
0.500 0.500 0.000 Os
```

Theoretical density = 11.77 g/cm³
VASP energy = -3.76 eV/atom
Density of states at the Fermi level = 3.3 states/eV/f.u.

=====

Here is a relaxed structure of KTcRh2 from Alexandria via LeMat-Bulk. Energies are from PBE-GGA.

The structure in POSCAR format:
```
KTcRh2
1.0
6.498 0.000 0.000
0.000 6.498 0.000
0.000 0.000 6.498
K Tc Rh
4 4 8
direct
0.000 0.000 0.000 K
0.000 0.500 0.500 K
0.500 0.000 0.500 K
0.500 0.500 0.000 K
0.000 0.000 0.500 Tc
0.000 0.500 0.000 Tc
0.500 0.000 0.000 Tc
0.500 0.500 0.500 Tc
0.250 0.250 0.250 Rh
0.250 0.250 0.750 Rh
0.250 0.750 0.250 Rh
0.250 0.750 0.750 Rh
0.750 0.250 0.250 Rh
0.750 0.250 0.750 Rh
0.750 0.750 0.250 Rh
0.750 0.750 0.750 Rh
```

Theoretical density = 8.30 g/cm³
VASP energy = -5.50 eV/atom
Density of states at the Fermi level = 3.5 states/eV/f.u.

=====

Here is a relaxed structure of TlTe2Cl from Alexandria via LeMat-Bulk. Energies are from PBE-GGA.

The structure in POSCAR format:
```
TlTe2Cl
1.0
4.941 0.000 0.000
0.000 4.941 0.000
0.000 0.000 6.204
Tl Te Cl
1 2 1
direct
0.000 0.000 0.000 Tl
0.500 0.500 0.213 Te
0.500 0.500 0.787 Te
0.000 0.000 0.500 Cl
```

Raw formation energy = -58 meV/atom
Theoretical density = 5.43 g/cm³
VASP energy = -2.68 eV/atom
Density of states at the Fermi level = 3.8 states/eV/f.u.

=====

Here is a relaxed structure of TbZrPa2As4 from Alexandria via LeMat-Bulk. Energies are from PBE-GGA.

The structure in POSCAR format:
```
TbZrPa2As4
1.0
6.954 0.000 0.000
0.000 4.069 0.000
-2.376 0.000 6.615
Tb Zr Pa As
1 1 2 4
direct
0.000 0.000 0.000 Tb
0.000 0.500 0.500 Zr
0.500 0.000 0.500 Pa
0.500 0.500 0.000 Pa
0.242 0.000 0.742 As
0.246 0.500 0.255 As
0.754 0.500 0.745 As
0.758 0.000 0.258 As
```

Theoretical density = 8.98 g/cm³
VASP energy = -7.53 eV/atom
Density of states at the Fermi level = 7.4 states/eV/f.u.

=====

Here is a relaxed structure of Mn2AsC from Alexandria via LeMat-Bulk. Energies are from PBE-GGA.

The structure in POSCAR format:
```
Mn2AsC
1.0
4.910 0.000 0.000
0.000 4.910 0.000
0.000 0.000 9.622
Mn As C
8 4 4
direct
0.160 0.250 0.125 Mn
0.250 0.660 0.375 Mn
0.250 0.840 0.875 Mn
0.340 0.250 0.625 Mn
0.660 0.750 0.625 Mn
0.750 0.160 0.875 Mn
0.750 0.340 0.375 Mn
0.840 0.750 0.125 Mn
0.000 0.000 0.500 As
0.000 0.500 0.750 As
0.500 0.000 0.250 As
0.500 0.500 0.000 As
0.000 0.000 0.000 C
0.000 0.500 0.250 C
0.500 0.000 0.750 C
0.500 0.500 0.500 C
```

Theoretical density = 5.63 g/cm³
VASP energy = -7.74 eV/atom
Density of states at the Fermi level = 3.8 states/eV/f.u.

=====

Here is a relaxed structure of NaLiH2 from Alexandria via LeMat-Bulk. Energies are from PBE-GGA.

The structure in POSCAR format:
```
NaLiH2
1.0
5.395 0.000 0.000
0.000 3.171 0.000
0.000 0.000 10.275
Na Li H
4 4 8
direct
0.105 0.250 0.142 Na
0.395 0.750 0.642 Na
0.605 0.250 0.358 Na
0.895 0.750 0.858 Na
0.098 0.750 0.390 Li
0.402 0.250 0.890 Li
0.598 0.750 0.110 Li
0.902 0.250 0.610 Li
0.132 0.250 0.750 H
0.213 0.250 0.478 H
0.287 0.750 0.978 H
0.368 0.750 0.250 H
0.632 0.250 0.750 H
0.713 0.250 0.022 H
0.787 0.750 0.522 H
0.868 0.750 0.250 H
```

Theoretical density = 1.21 g/cm³
VASP energy = -2.76 eV/atom
Density of states at the Fermi level = 0.0 states/eV/f.u.

=====

Here is a relaxed structure of Be3CdTc from Alexandria via LeMat-Bulk. Energies are from PBE-GGA.

The structure in POSCAR format:
```
Be3CdTc
1.0
4.245 0.000 0.000
0.000 4.245 0.000
0.000 0.000 4.245
Be Cd Tc
3 1 1
direct
0.000 0.000 0.500 Be
0.000 0.500 0.000 Be
0.500 0.000 0.000 Be
0.500 0.500 0.500 Cd
0.000 0.000 0.000 Tc
```

Theoretical density = 5.15 g/cm³
VASP energy = -3.66 eV/atom
Density of states at the Fermi level = 1.8 states/eV/f.u.

=====

Here is a relaxed structure of NaRe from Alexandria via LeMat-Bulk. Energies are from PBE-GGA.

The structure in POSCAR format:
```
NaRe
1.0
12.686 0.000 0.000
0.000 12.686 0.000
0.000 0.000 3.246
Na Re
8 8
direct
0.033 0.196 0.000 Na
0.196 0.967 0.000 Na
0.304 0.533 0.500 Na
0.467 0.304 0.500 Na
0.533 0.696 0.500 Na
0.696 0.467 0.500 Na
0.804 0.033 0.000 Na
0.967 0.804 0.000 Na
0.187 0.741 0.500 Re
0.241 0.313 0.000 Re
0.259 0.187 0.500 Re
0.313 0.759 0.000 Re
0.687 0.241 0.000 Re
0.741 0.813 0.500 Re
0.759 0.687 0.000 Re
0.813 0.259 0.500 Re
```

Theoretical density = 5.32 g/cm³
VASP energy = -5.58 eV/atom
Density of states at the Fermi level = 1.5 states/eV/f.u.

=====

Here is a relaxed structure of SrCePr from Alexandria via LeMat-Bulk. Energies are from PBE-GGA.

The structure in POSCAR format:
```
SrCePr
1.0
3.722 0.000 0.000
0.000 3.722 0.000
0.000 0.000 16.759
Sr Ce Pr
2 2 2
direct
0.000 0.000 0.000 Sr
0.500 0.500 0.500 Sr
0.000 0.000 0.324 Ce
0.500 0.500 0.824 Ce
0.000 0.000 0.682 Pr
0.500 0.500 0.182 Pr
```

Theoretical density = 5.27 g/cm³
VASP energy = -3.93 eV/atom
Density of states at the Fermi level = 7.5 states/eV/f.u.

=====

Here is a relaxed structure of TlZnTe3 from Alexandria via LeMat-Bulk. Energies are from PBE-GGA.

The structure in POSCAR format:
```
TlZnTe3
1.0
5.426 0.000 0.000
0.000 5.426 0.000
0.000 0.000 5.426
Tl Zn Te
1 1 3
direct
0.000 0.000 0.000 Tl
0.500 0.500 0.500 Zn
0.000 0.500 0.500 Te
0.500 0.000 0.500 Te
0.500 0.500 0.000 Te
```

Raw formation energy = 118 meV/atom
Theoretical density = 6.79 g/cm³
VASP energy = -2.50 eV/atom
Density of states at the Fermi level = 5.1 states/eV/f.u.

=====

Here is a relaxed structure of TePdPtN2 from Alexandria via LeMat-Bulk. Energies are from PBE-GGA.

The structure in POSCAR format:
```
TePdPtN2
1.0
3.764 0.000 0.000
0.000 3.764 0.000
0.000 0.000 7.566
Te Pd Pt N
1 1 1 2
direct
0.000 0.000 0.000 Te
0.500 0.500 0.000 Pd
0.000 0.000 0.500 Pt
0.000 0.500 0.500 N
0.500 0.000 0.500 N
```

Raw formation energy = 1069 meV/atom
Theoretical density = 7.08 g/cm³
VASP energy = -5.14 eV/atom
Density of states at the Fermi level = 3.6 states/eV/f.u.